RbAlS2 PBE relaxed; M_tot = 0.0 μB/f.u.; D(E_F) = 0.000 states/eV per atom; formation energy (no corrections) = -1.30 eV/atom
1.0
7.269 -0.020 0.064
-3.729 6.367 0.005
0.823 0.471 5.801
S Rb Al
4 2 2
direct
0.337 0.789 0.717
0.324 0.111 0.221
0.737 0.317 0.643
0.724 0.982 0.146
0.187 0.479 0.219
0.873 0.823 0.643
0.531 0.057 0.432
0.530 0.058 0.932